1.
First-principles (GGA-PBE) data for a relaxed structure of V2CrCo2, as listed in Alexandria.

Summary:
The value obtained for the density of states at the Fermi level is 10.0 states/eV per cell. As for the formation energy: 0.07 eV/atom. For the energy above the lowest structure with this stoichiometry, the calculation gives 0.0 meV/atom.

Geometry as CIF:
```
data_V2CrCo2
_chemical_formula_sum 'V4 Cr2 Co4'
_cell_length_a 6.720
_cell_length_b 6.720
_cell_length_c 2.681
_cell_angle_alpha 90.00
_cell_angle_beta 90.00
_cell_angle_gamma 90.00
_symmetry_space_group_name_H-M 'P 4/m b m'
_symmetry_Int_Tables_number 127
_symmetry_space_group_name_Hall '-P 4 2ab'
loop_
_atom_site_label
_atom_site_type_symbol
_atom_site_fract_x
_atom_site_fract_y
_atom_site_fract_z
V1 V 0.171 0.329 0.000
Cr1 Cr 0.000 0.000 0.500
Co1 Co 0.130 0.630 0.500
```

2.
First-principles (GGA-PBE) data for a relaxed structure of VCr3Co, as listed in Alexandria.

Summary:
The value obtained for the density of states at the Fermi level is 6.9 states/eV per cell. As for the formation energy: 1.46 eV/atom. For the energy above the lowest structure with this stoichiometry, the calculation gives 269.1 meV/atom.

Geometry as CIF:
```
data_VCr3Co
_chemical_formula_sum 'V1 Cr3 Co1'
_cell_length_a 4.170
_cell_length_b 4.170
_cell_length_c 4.170
_cell_angle_alpha 90.00
_cell_angle_beta 90.00
_cell_angle_gamma 90.00
_symmetry_space_group_name_H-M 'P m -3 m'
_symmetry_Int_Tables_number 221
_symmetry_space_group_name_Hall '-P 4 2 3'
loop_
_atom_site_label
_atom_site_type_symbol
_atom_site_fract_x
_atom_site_fract_y
_atom_site_fract_z
V1 V 0.000 0.000 0.000
Cr1 Cr 0.000 0.000 0.500
Co1 Co 0.500 0.500 0.500
```

3.
First-principles (GGA-PBE) data for a relaxed structure of V2CrCo3, as listed in Alexandria.

Summary:
The value obtained for the density of states at the Fermi level is 13.7 states/eV per cell. As for the formation energy: -0.10 eV/atom.

Geometry as CIF:
```
data_V2CrCo3
_chemical_formula_sum 'V4 Cr2 Co6'
_cell_length_a 3.605
_cell_length_b 10.831
_cell_length_c 3.513
_cell_angle_alpha 90.00
_cell_angle_beta 90.00
_cell_angle_gamma 90.00
_symmetry_space_group_name_H-M 'C m m m'
_symmetry_Int_Tables_number 65
_symmetry_space_group_name_Hall '-C 2 2'
loop_
_atom_site_label
_atom_site_type_symbol
_atom_site_fract_x
_atom_site_fract_y
_atom_site_fract_z
V1 V 0.000 0.159 0.000
Cr1 Cr 0.000 0.500 0.000
Co1 Co 0.000 0.000 0.500
Co2 Co 0.000 0.335 0.500
```

4.
First-principles (GGA-PBE) data for a relaxed structure of V4Cr2Co, as listed in Alexandria.

Summary:
The value obtained for the density of states at the Fermi level is 18.9 states/eV per cell. As for the formation energy: 0.92 eV/atom. For the energy above the lowest structure with this stoichiometry, the calculation gives 735.7 meV/atom.

Geometry as CIF:
```
data_V4Cr2Co
_chemical_formula_sum 'V8 Cr4 Co2'
_cell_length_a 4.252
_cell_length_b 4.252
_cell_length_c 11.727
_cell_angle_alpha 90.00
_cell_angle_beta 90.00
_cell_angle_gamma 90.00
_symmetry_space_group_name_H-M 'I 4/m m m'
_symmetry_Int_Tables_number 139
_symmetry_space_group_name_Hall '-I 4 2'
loop_
_atom_site_label
_atom_site_type_symbol
_atom_site_fract_x
_atom_site_fract_y
_atom_site_fract_z
V1 V 0.000 0.000 0.196
V2 V 0.000 0.500 0.000
Cr1 Cr 0.000 0.000 0.378
Co1 Co 0.000 0.000 0.000
```

5.
First-principles (GGA-PBE) data for a relaxed structure of V2CrCo6, as listed in Alexandria.

Summary:
The value obtained for the density of states at the Fermi level is 14.1 states/eV per cell. As for the formation energy: 0.12 eV/atom. For the energy above the lowest structure with this stoichiometry, the calculation gives 0.0 meV/atom.

Geometry as CIF:
```
data_V2CrCo6
_chemical_formula_sum 'V2 Cr1 Co6'
_cell_length_a 4.8086
_cell_length_b 4.8086
_cell_length_c 5.2461
_cell_angle_alpha 90.00
_cell_angle_beta 90.00
_cell_angle_gamma 120.00
_symmetry_space_group_name_H-M 'P -3 m 1'
_symmetry_Int_Tables_number 164
_symmetry_space_group_name_Hall '-P 3 2"'
loop_
_atom_site_label
_atom_site_type_symbol
_atom_site_fract_x
_atom_site_fract_y
_atom_site_fract_z
V1 V 0.3333 0.6667 0.3663
Cr1 Cr 0.0000 0.0000 0.5000
Co1 Co 0.1747 0.3495 0.8198
```

6.
First-principles (GGA-PBE) data for a relaxed structure of VCrCo3, as listed in Alexandria.

Summary:
The value obtained for the density of states at the Fermi level is 31.4 states/eV per cell. As for the formation energy: 0.09 eV/atom. For the energy above the lowest structure with this stoichiometry, the calculation gives 8.2 meV/atom.

Geometry as CIF:
```
data_VCrCo3
_chemical_formula_sum 'V4 Cr4 Co12'
_cell_length_a 11.664
_cell_length_b 4.580
_cell_length_c 4.437
_cell_angle_alpha 90.00
_cell_angle_beta 105.96
_cell_angle_gamma 90.00
_symmetry_space_group_name_H-M 'C 1 2/m 1'
_symmetry_Int_Tables_number 12
loop_
_symmetry_equiv_pos_as_xyz
'x,y,z'
'-x,-y,-z'
'-x,y,-z'
'x,-y,z'
'x+1/2,y+1/2,z'
'-x+1/2,-y+1/2,-z'
'-x+1/2,y+1/2,-z'
'x+1/2,-y+1/2,z'
loop_
_atom_site_label
_atom_site_type_symbol
_atom_site_fract_x
_atom_site_fract_y
_atom_site_fract_z
V1 V 0.065 0.000 0.294
Cr1 Cr 0.201 0.500 0.396
Co1 Co 0.000 0.500 0.000
Co2 Co 0.000 0.500 0.500
Co3 Co 0.152 0.244 0.853
```

7.
First-principles (GGA-PBE) data for a relaxed structure of V3Cr2Co, as listed in Alexandria.

Summary:
The value obtained for the density of states at the Fermi level is 5.8 states/eV per cell. As for the formation energy: -0.11 eV/atom.

Geometry as CIF:
```
data_V3Cr2Co
_chemical_formula_sum 'V3 Cr2 Co1'
_cell_length_a 2.911
_cell_length_b 2.911
_cell_length_c 8.654
_cell_angle_alpha 90.00
_cell_angle_beta 90.00
_cell_angle_gamma 90.00
_symmetry_space_group_name_H-M 'P 4/m m m'
_symmetry_Int_Tables_number 123
_symmetry_space_group_name_Hall '-P 4 2'
loop_
_atom_site_label
_atom_site_type_symbol
_atom_site_fract_x
_atom_site_fract_y
_atom_site_fract_z
V1 V 0.000 0.000 0.000
V2 V 0.000 0.000 0.330
Cr1 Cr 0.500 0.500 0.171
Co1 Co 0.500 0.500 0.500
```

8.
First-principles (GGA-PBE) data for a relaxed structure of V3CrCo7, as listed in Alexandria.

Summary:
The value obtained for the density of states at the Fermi level is 28.4 states/eV per cell. As for the formation energy: 0.30 eV/atom.

Geometry as CIF:
```
data_V3CrCo7
_chemical_formula_sum 'V6 Cr2 Co14'
_cell_length_a 8.129
_cell_length_b 8.529
_cell_length_c 4.247
_cell_angle_alpha 90.00
_cell_angle_beta 115.92
_cell_angle_gamma 90.00
_symmetry_space_group_name_H-M 'C 1 2/m 1'
_symmetry_Int_Tables_number 12
loop_
_symmetry_equiv_pos_as_xyz
'x,y,z'
'-x,-y,-z'
'-x,y,-z'
'x,-y,z'
'x+1/2,y+1/2,z'
'-x+1/2,-y+1/2,-z'
'-x+1/2,y+1/2,-z'
'x+1/2,-y+1/2,z'
loop_
_atom_site_label
_atom_site_type_symbol
_atom_site_fract_x
_atom_site_fract_y
_atom_site_fract_z
V1 V 0.000 0.000 0.000
V2 V 0.000 0.228 0.500
Cr1 Cr 0.000 0.500 0.000
Co1 Co 0.000 0.500 0.500
Co2 Co 0.188 0.205 0.189
Co3 Co 0.192 0.000 0.648
```

9.
First-principles (GGA-PBE) data for a relaxed structure of VCr2Co, as listed in Alexandria.

Summary:
The value obtained for the density of states at the Fermi level is 5.9 states/eV per cell. As for the formation energy: 0.10 eV/atom. For the energy above the lowest structure with this stoichiometry, the calculation gives 24.8 meV/atom.

Geometry as CIF:
```
data_VCr2Co
_chemical_formula_sum 'V1 Cr2 Co1'
_cell_length_a 3.396
_cell_length_b 3.396
_cell_length_c 4.098
_cell_angle_alpha 90.00
_cell_angle_beta 90.00
_cell_angle_gamma 90.00
_symmetry_space_group_name_H-M 'P 4/m m m'
_symmetry_Int_Tables_number 123
_symmetry_space_group_name_Hall '-P 4 2'
loop_
_atom_site_label
_atom_site_type_symbol
_atom_site_fract_x
_atom_site_fract_y
_atom_site_fract_z
V1 V 0.000 0.000 0.000
Cr1 Cr 0.000 0.500 0.500
Co1 Co 0.500 0.500 0.000
```

10.
First-principles (GGA-PBE) data for a relaxed structure of V6CrCo, as listed in Alexandria.

Summary:
The value obtained for the density of states at the Fermi level is 29.6 states/eV per cell. As for the formation energy: -0.09 eV/atom. For the energy above the lowest structure with this stoichiometry, the calculation gives 2.3 meV/atom.

Geometry as CIF:
```
data_V6CrCo
_chemical_formula_sum 'V18 Cr3 Co3'
_cell_length_a 6.6250
_cell_length_b 6.6250
_cell_length_c 8.1055
_cell_angle_alpha 90.00
_cell_angle_beta 90.00
_cell_angle_gamma 120.00
_symmetry_space_group_name_H-M 'R -3'
_symmetry_Int_Tables_number 148
_symmetry_space_group_name_Hall '-R 3'
loop_
_atom_site_label
_atom_site_type_symbol
_atom_site_fract_x
_atom_site_fract_y
_atom_site_fract_z
V1 V 0.9999 0.2498 0.2500
Cr1 Cr 0.0000 0.0000 0.5000
Co1 Co 0.0000 0.0000 0.0000
```